1.
Here is an optimized crystal structure of GeBiHRh2 from the Alexandria database. Energies are from PBE.

Computed properties:
N(E_F) in states/eV/f.u.: 6.02
Space group: P4/mmm (123)
Density in Mg/m³: 5.7
Raw total energy in eV/atom: -3.615

Structure (extended XYZ):
```
5
Lattice="5.069 0.000 0.000 0.000 5.541 0.000 0.000 0.000 5.069" Properties=species:S:1:pos:R:3 pbc="T T T"
H 2.535 2.771 2.535
Ge 0.000 2.771 0.000
Rh 0.000 0.000 2.535
Rh 2.535 0.000 0.000
Bi 0.000 0.000 0.000
```

2.
Here is an optimized crystal structure of GeBiSb2H from the Alexandria database. Energies are from PBE.

Computed properties:
N(E_F) in states/eV/f.u.: 2.73
Space group: P4/mmm (123)
Density in Mg/m³: 7.5
Raw total energy in eV/atom: -3.776

Structure (extended XYZ):
```
5
Lattice="-0.696 5.008 2.813 -5.607 -1.206 0.760 0.752 -1.592 3.021" Properties=species:S:1:pos:R:3 pbc="T T T"
Sb -2.804 -0.603 0.380
Sb -0.348 2.504 1.407
Ge 0.000 0.000 0.000
Bi -2.775 1.104 3.297
H 0.376 -0.796 1.510
```

3.
Here is an optimized crystal structure of GeBi2TeH from the Alexandria database. Energies are from PBE.

Computed properties:
N(E_F) in states/eV/f.u.: 2.17
Space group: P4/mmm (123)
Density in Mg/m³: 7.4
Raw total energy in eV/atom: -3.352

Structure (extended XYZ):
```
5
Lattice="6.072 0.000 0.000 0.000 3.745 0.000 0.000 0.000 6.072" Properties=species:S:1:pos:R:3 pbc="T T T"
H 0.000 1.873 0.000
Ge 3.036 1.873 3.036
Te 0.000 0.000 0.000
Bi 0.000 0.000 3.036
Bi 3.036 0.000 0.000
```

4.
Here is an optimized crystal structure of YGeBi2H from the Alexandria database. Energies are from PBE.

Computed properties:
N(E_F) in states/eV/f.u.: 1.83
Space group: P4/mmm (123)
Density in Mg/m³: 7.9
Raw total energy in eV/atom: -4.505

Structure (extended XYZ):
```
5
Lattice="5.959 0.000 0.000 0.000 3.433 0.000 0.000 0.000 5.959" Properties=species:S:1:pos:R:3 pbc="T T T"
Y 2.980 1.717 2.980
H 0.000 1.717 0.000
Ge 0.000 0.000 0.000
Bi 0.000 0.000 2.980
Bi 2.980 0.000 0.000
```

5.
Here is an optimized crystal structure of Hf6GeBi from the Alexandria database. Energies are from PBE.

Computed properties:
N(E_F) in states/eV/f.u.: 11.05
Formation energy in meV/atom: 34
Space group: C2/m (12)
Density in Mg/m³: 12.4
Raw total energy in eV/atom: -8.494

Structure (extended XYZ):
```
8
Lattice="6.114 0.155 -0.615 -2.131 5.733 -0.615 -1.356 -2.005 5.523" Properties=species:S:1:pos:R:3 pbc="T T T"
Hf 0.025 0.037 3.766
Hf 3.583 1.067 0.784
Hf 2.602 3.846 0.527
Hf 2.970 0.160 3.510
Hf -0.957 2.816 3.510
Hf -0.343 3.723 0.784
Ge 1.313 1.941 2.147
Bi 0.000 0.000 0.000
```

6.
Here is an optimized crystal structure of HfGe3Bi from the Alexandria database. Energies are from PBE.

Computed properties:
N(E_F) in states/eV/f.u.: 2.92
Formation energy in meV/atom: 456
Energy relative to the lowest polymorph listed for this composition in meV/atom: 0
Space group: Pm-3m (221)
Density in Mg/m³: 7.2
Raw total energy in eV/atom: -5.081

Structure (extended XYZ):
```
5
Lattice="-4.185 2.796 1.289 -2.278 -4.275 1.879 2.072 0.948 4.670" Properties=species:S:1:pos:R:3 pbc="T T T"
Ge -1.139 -2.138 0.939
Ge 1.036 0.474 2.335
Ge -2.093 1.398 0.644
Hf 0.000 0.000 0.000
Bi -2.196 -0.265 3.919
```

7.
Here is an optimized crystal structure of Hf3GeBi from the Alexandria database. Energies are from PBE.

Computed properties:
N(E_F) in states/eV/f.u.: 6.44
Formation energy in meV/atom: 1441
Energy relative to the lowest polymorph listed for this composition in meV/atom: 1503
Space group: Pm-3m (221)
Density in Mg/m³: 8.9
Raw total energy in eV/atom: -6.231

Structure (extended XYZ):
```
5
Lattice="-5.110 1.500 -0.318 -1.464 -4.447 2.558 0.454 2.538 4.671" Properties=species:S:1:pos:R:3 pbc="T T T"
Ge -3.060 -0.205 3.455
Hf -0.732 -2.223 1.279
Hf 0.227 1.269 2.336
Hf -2.555 0.750 -0.159
Bi 0.000 0.000 0.000
```

8.
Here is an optimized crystal structure of Hf5Ge2Bi2 from the Alexandria database. Energies are from PBE.

Computed properties:
N(E_F) in states/eV/f.u.: 5.56
Formation energy in meV/atom: -424
Space group: Cmce (64)
Density in Mg/m³: 12.3
Raw total energy in eV/atom: -7.842

Structure (extended XYZ):
```
18
Lattice="-1.553 5.333 4.829 4.157 -3.329 5.014 5.017 6.437 0.114" Properties=species:S:1:pos:R:3 pbc="T T T"
Hf 0.000 0.000 0.000
Hf 1.302 1.002 4.921
Hf 3.788 6.791 3.143
Hf 6.065 6.275 8.034
Hf 6.146 4.166 4.780
Hf 3.707 8.900 6.397
Hf 3.833 1.650 6.814
Hf 1.555 2.166 1.923
Hf 1.475 4.275 5.177
Hf 3.914 -0.459 3.560
Ge 1.320 -0.506 2.496
Ge 1.283 2.510 7.347
Ge 3.041 -0.942 6.116
Ge -0.437 2.946 3.727
Bi 2.594 4.860 1.076
Bi 3.896 5.862 5.998
Bi 0.869 6.910 3.867
Bi 3.725 2.579 3.960
```